DFT (PBEsol) results for an optimized crystal structure of SrLaBi2O.

The space group is P4/mmm (No. 123) and the conventional cell measures 6.481, 6.481 and 4.167 Å, with angles of 90.00, 90.00 and 90.00 degrees. The inequivalent atoms are Sr at (0.000, 0.000, 0.000), La at (0.500, 0.500, 0.500), Bi at (0.000, 0.500, 0.500) and O at (0.500, 0.500, 0.000).

The raw formation energy is -0.9566 eV/atom.